# BaWAu2S

A geometry-optimized BaWAu2S structure (GGA-PBEsol, Alexandria via LeMat-Bulk).

Output
* crystal system: tetragonal
* ΔE_f (raw): -232 meV per atom
* mass density: 10.1 Mg/m³

Geometry as extended XYZ:
```
5
Lattice="5.181 0.000 0.000 0.000 5.181 0.000 0.000 0.000 4.558" Properties=species:S:1:pos:R:3 pbc="T T T"
Ba 0.000 0.000 0.000
W 2.590 2.590 2.279
Au 0.000 2.590 2.279
Au 2.590 0.000 2.279
S 2.590 2.590 0.000
```